(1)
First-principles (PBE) data for a geometry-optimized PmDyRh structure, as listed in the Alexandria database.

```
PmDyRh
1.0
3.485 0.000 0.000
-1.728 6.648 0.000
-0.018 -1.923 6.774
Pm Dy Rh
2 2 2
direct
0.129 0.259 0.065
0.871 0.741 0.935
0.129 0.258 0.563
0.871 0.742 0.437
0.497 0.994 0.264
0.503 0.006 0.736
```

Raw total energy, eV/atom: -6.07
Energy above the most stable polymorph in this dataset, meV/atom: 42.2
Crystal system: triclinic
M_tot, μB per atom: 0.00
Space group: P-1 (2)

=====

(2)
First-principles (PBE) data for a geometry-optimized SrHg4W structure, as listed in the Alexandria database.

```
SrHg4W
1.0
0.000 4.182 4.182
4.182 0.000 4.182
4.182 4.182 0.000
Sr Hg W
1 4 1
direct
0.000 0.000 0.000
0.376 0.376 0.376
0.376 0.376 0.873
0.376 0.873 0.376
0.873 0.376 0.376
0.750 0.750 0.750
```

Raw total energy, eV/atom: -2.06
Crystal system: cubic
M_tot, μB per atom: 0.60
Space group: F-43m (216)

=====

(3)
First-principles (PBE) data for a geometry-optimized Ce8CoRu5 structure, as listed in the Alexandria database.

```
Ce8CoRu5
1.0
-4.264 4.264 4.293
4.264 -4.264 4.293
4.264 4.264 -4.293
Ce Co Ru
8 1 5
direct
0.263 0.513 0.137
0.369 0.122 0.356
0.376 0.126 0.863
0.487 0.624 0.750
0.765 0.012 0.644
0.874 0.737 0.250
0.878 0.235 0.247
0.988 0.631 0.753
0.000 0.000 0.000
0.123 0.249 0.621
0.250 0.750 0.500
0.499 0.877 0.127
0.628 0.501 0.379
0.751 0.372 0.873
```

Raw total energy, eV/atom: -7.52
Crystal system: tetragonal
M_tot, μB per atom: 0.00
Space group: I-4 (82)

=====

(4)
First-principles (PBE) data for a geometry-optimized HfOsSe2Br structure, as listed in the Alexandria database.

```
HfOsSe2Br
1.0
4.870 0.000 0.000
0.000 4.870 0.000
0.000 0.000 4.899
Hf Os Se Br
1 1 2 1
direct
0.000 0.000 0.000
0.500 0.500 0.500
0.000 0.500 0.500
0.500 0.000 0.500
0.500 0.500 0.000
```

Raw total energy, eV/atom: -5.25
Energy above the most stable polymorph in this dataset, meV/atom: 0.0
Crystal system: tetragonal
M_tot, μB per atom: 0.00
Space group: P4/mmm (123)

=====

(5)
First-principles (PBE) data for a geometry-optimized Na3LaMo structure, as listed in the Alexandria database.

```
Na3LaMo
1.0
5.520 0.000 0.000
0.000 5.520 0.000
0.000 0.000 5.520
Na La Mo
3 1 1
direct
0.000 0.000 0.500
0.000 0.500 0.000
0.500 0.000 0.000
0.000 0.000 0.000
0.500 0.500 0.500
```

Raw total energy, eV/atom: -1.70
Energy above the most stable polymorph in this dataset, meV/atom: 997.3
Crystal system: cubic
M_tot, μB per atom: 0.00
Space group: Pm-3m (221)

=====

(6)
First-principles (PBE) data for a geometry-optimized ZnGaAg2 structure, as listed in the Alexandria database.

```
ZnGaAg2
1.0
-3.703 3.703 2.762
3.703 -3.703 2.762
3.703 3.703 -2.762
Zn Ga Ag
2 2 4
direct
0.000 0.000 0.000
0.750 0.250 0.500
0.250 0.750 0.500
0.500 0.500 0.000
0.120 0.625 0.995
0.375 0.370 0.495
0.630 0.125 0.005
0.875 0.880 0.505
```

Raw total energy, eV/atom: -2.32
Crystal system: tetragonal
M_tot, μB per atom: 0.00
Space group: I-42d (122)

=====

(7)
First-principles (PBE) data for a geometry-optimized KHg3Pt3 structure, as listed in the Alexandria database.

```
KHg3Pt3
1.0
7.553 0.000 0.000
0.000 7.553 0.000
0.000 0.000 7.553
K Hg Pt
2 6 6
direct
0.000 0.000 0.000
0.500 0.500 0.500
0.000 0.250 0.500
0.000 0.750 0.500
0.250 0.500 0.000
0.500 0.000 0.250
0.500 0.000 0.750
0.750 0.500 0.000
0.000 0.500 0.250
0.000 0.500 0.750
0.250 0.000 0.500
0.500 0.250 0.000
0.500 0.750 0.000
0.750 0.000 0.500
```

Raw total energy, eV/atom: -2.59
Crystal system: cubic
M_tot, μB per atom: 0.00
Space group: Pm-3n (223)

=====

(8)
First-principles (PBE) data for a geometry-optimized NaFe3Si structure, as listed in the Alexandria database.

```
NaFe3Si
1.0
4.368 0.000 0.000
0.000 4.368 0.000
0.000 0.000 4.368
Na Fe Si
1 3 1
direct
0.000 0.000 0.000
0.000 0.000 0.500
0.000 0.500 0.000
0.500 0.000 0.000
0.500 0.500 0.500
```

Raw total energy, eV/atom: -4.54
Energy above the most stable polymorph in this dataset, meV/atom: 1189.4
Crystal system: cubic
M_tot, μB per atom: 1.71
Space group: Pm-3m (221)

=====

(9)
First-principles (PBE) data for a geometry-optimized BaNi2BBr structure, as listed in the Alexandria database.

```
BaNi2BBr
1.0
4.433 0.000 0.000
0.000 4.433 0.000
0.000 0.000 6.277
Ba Ni B Br
1 2 1 1
direct
0.000 0.000 0.000
0.000 0.500 0.500
0.500 0.000 0.500
0.500 0.500 0.000
0.000 0.000 0.500
```

Raw total energy, eV/atom: -3.33
Crystal system: tetragonal
M_tot, μB per atom: 0.11
Space group: P4/mmm (123)

=====

(10)
First-principles (PBE) data for a geometry-optimized Sn2HAuCl structure, as listed in the Alexandria database.

```
Sn2HAuCl
1.0
4.579 0.000 0.000
0.000 4.579 0.000
0.000 0.000 4.775
Sn H Au Cl
2 1 1 1
direct
0.000 0.500 0.000
0.500 0.000 0.000
0.000 0.000 0.000
0.500 0.500 0.500
0.000 0.000 0.500
```

Raw total energy, eV/atom: -3.08
Crystal system: tetragonal
M_tot, μB per atom: 0.00
Space group: P4/mmm (123)

=====

(11)
First-principles (PBE) data for a geometry-optimized Tl2CdCuHg structure, as listed in the Alexandria database.

```
Tl2CdCuHg
1.0
5.305 0.000 0.000
0.000 5.305 0.000
0.000 0.000 5.137
Tl Cd Cu Hg
2 1 1 1
direct
0.000 0.500 0.000
0.500 0.000 0.000
0.000 0.000 0.500
0.500 0.500 0.000
0.500 0.500 0.500
```

Raw total energy, eV/atom: -1.82
Energy above the most stable polymorph in this dataset, meV/atom: 44.1
Crystal system: tetragonal
M_tot, μB per atom: 0.00
Space group: P4/mmm (123)

=====

(12)
First-principles (PBE) data for a geometry-optimized PtRhI2N structure, as listed in the Alexandria database.

```
PtRhI2N
1.0
5.525 0.000 0.000
0.000 5.525 0.000
0.000 0.000 3.644
Pt Rh I N
1 1 2 1
direct
0.000 0.000 0.000
0.500 0.500 0.500
0.000 0.500 0.500
0.500 0.000 0.500
0.500 0.500 0.000
```

Raw total energy, eV/atom: -4.15
Energy above the most stable polymorph in this dataset, meV/atom: 0.0
Crystal system: tetragonal
M_tot, μB per atom: 0.00
Space group: P4/mmm (123)

=====

(13)
First-principles (PBE) data for a geometry-optimized Ca2InH structure, as listed in the Alexandria database.

```
Ca2InH
1.0
-3.579 3.579 3.912
3.579 -3.579 3.912
3.579 3.579 -3.912
Ca In H
4 2 2
direct
0.015 0.625 0.890
0.375 0.265 0.390
0.735 0.125 0.110
0.875 0.985 0.610
0.250 0.750 0.500
0.500 0.500 0.000
0.000 0.000 0.000
0.750 0.250 0.500
```

Raw total energy, eV/atom: -2.83
Energy above the most stable polymorph in this dataset, meV/atom: 15.8
Crystal system: tetragonal
M_tot, μB per atom: 0.00
Space group: I-42d (122)

=====

(14)
First-principles (PBE) data for a geometry-optimized LaNi2W structure, as listed in the Alexandria database.

```
LaNi2W
1.0
-2.354 2.354 8.003
2.354 -2.354 8.003
2.354 2.354 -8.003
La Ni W
2 4 2
direct
0.000 0.000 0.000
0.750 0.250 0.500
0.335 0.625 0.210
0.375 0.585 0.710
0.415 0.125 0.790
0.875 0.665 0.290
0.250 0.750 0.500
0.500 0.500 0.000
```

Raw total energy, eV/atom: -6.82
Energy above the most stable polymorph in this dataset, meV/atom: 567.1
Crystal system: tetragonal
M_tot, μB per atom: 0.00
Space group: I-42d (122)

=====

(15)
First-principles (PBE) data for a geometry-optimized Np3As4Pt2 structure, as listed in the Alexandria database.

```
Np3As4Pt2
1.0
6.355 -2.037 0.000
6.355 2.037 0.000
-4.739 0.000 7.169
Np As Pt
3 4 2
direct
0.000 0.000 0.000
0.365 0.365 0.294
0.635 0.635 0.706
0.063 0.063 0.382
0.319 0.319 0.919
0.681 0.681 0.081
0.937 0.937 0.618
0.327 0.327 0.632
0.673 0.673 0.368
```

Raw total energy, eV/atom: -8.29
Crystal system: monoclinic
M_tot, μB per atom: 1.19
Space group: C2/m (12)

=====

(16)
First-principles (PBE) data for a geometry-optimized YTi2SnC structure, as listed in the Alexandria database.

```
YTi2SnC
1.0
4.319 0.000 0.000
0.000 4.319 0.000
0.000 0.000 4.831
Y Ti Sn C
1 2 1 1
direct
0.000 0.000 0.000
0.000 0.500 0.500
0.500 0.000 0.500
0.500 0.500 0.000
0.000 0.000 0.500
```

Raw total energy, eV/atom: -7.59
Crystal system: tetragonal
M_tot, μB per atom: 0.18
Space group: P4/mmm (123)

=====

(17)
First-principles (PBE) data for a geometry-optimized CdFe2IrS structure, as listed in the Alexandria database.

```
CdFe2IrS
1.0
4.749 0.000 0.000
0.000 4.749 0.000
0.000 0.000 4.920
Cd Fe Ir S
1 2 1 1
direct
0.000 0.000 0.000
0.000 0.500 0.000
0.500 0.000 0.000
0.000 0.000 0.500
0.500 0.500 0.500
```

Raw total energy, eV/atom: -4.24
Crystal system: tetragonal
M_tot, μB per atom: 1.40
Space group: P4/mmm (123)

=====

(18)
First-principles (PBE) data for a geometry-optimized SmY2Mn structure, as listed in the Alexandria database.

```
SmY2Mn
1.0
3.557 0.000 0.000
0.000 3.557 0.000
0.000 0.000 8.824
Sm Y Mn
1 2 1
direct
0.000 0.000 0.000
0.500 0.500 0.302
0.500 0.500 0.698
0.000 0.000 0.500
```

Raw total energy, eV/atom: -6.57
Crystal system: tetragonal
M_tot, μB per atom: 0.86
Space group: P4/mmm (123)

=====

(19)
First-principles (PBE) data for a geometry-optimized TaCuPt structure, as listed in the Alexandria database.

```
TaCuPt
1.0
-1.428 1.428 5.585
1.428 -1.428 5.585
1.428 1.428 -5.585
Ta Cu Pt
1 1 1
direct
0.000 0.000 0.000
0.333 0.333 0.000
0.675 0.675 0.000
```

Raw total energy, eV/atom: -7.61
Energy above the most stable polymorph in this dataset, meV/atom: 137.1
Crystal system: tetragonal
M_tot, μB per atom: 0.00
Space group: I4mm (107)

=====

(20)
First-principles (PBE) data for a geometry-optimized PaCrNi2 structure, as listed in the Alexandria database.

```
PaCrNi2
1.0
3.891 0.000 0.000
0.000 3.891 0.000
0.000 0.000 3.927
Pa Cr Ni
1 1 2
direct
0.000 0.000 0.000
0.500 0.500 0.000
0.000 0.500 0.500
0.500 0.000 0.500
```

Raw total energy, eV/atom: -7.78
Energy above the most stable polymorph in this dataset, meV/atom: 0.0
Crystal system: tetragonal
M_tot, μB per atom: 0.59
Space group: P4/mmm (123)